PrThZn: optimized geometry, PBE.

Values from the calculation:
- Offset from the most stable computed form: 0 meV/atom
- ρ: 7.98 g/cm3

```
12
Lattice="7.145 0.000 0.000 0.000 7.145 0.000 0.000 0.000 7.145" Properties=species:S:1:pos:R:3 pbc="T T T"
Pr 0.000 0.000 0.000
Pr 0.000 3.573 3.573
Pr 3.573 0.000 3.573
Pr 3.573 3.573 0.000
Th 0.000 0.000 3.573
Th 0.000 3.573 0.000
Th 3.573 0.000 0.000
Th 3.573 3.573 3.573
Zn 1.786 1.786 1.786
Zn 1.786 5.359 5.359
Zn 5.359 1.786 5.359
Zn 5.359 5.359 1.786
```


PaSnPb: optimized geometry, PBE.

Values from the calculation:
- Offset from the most stable computed form: 0 meV/atom
- ρ: 11.43 g/cm3

```
9
Lattice="5.456 0.000 0.000 -2.728 4.725 0.000 0.000 0.000 9.419" Properties=species:S:1:pos:R:3 pbc="T T T"
Pa 0.000 0.000 0.000
Pa 0.000 0.000 3.121
Pa 0.000 0.000 6.280
Sn 0.000 3.150 4.761
Sn 0.000 3.150 7.829
Sn 2.728 1.575 1.542
Pb 0.000 3.150 1.583
Pb 2.728 1.575 4.651
Pb 2.728 1.575 7.855
```


Pa2GaO4: optimized geometry, PBE.

Values from the calculation:
- Total DFT energy (no corrections): -7.9743 eV/atom
- ρ: 7.23 g/cm3

```
14
Lattice="0.000 5.153 5.153 5.153 0.000 5.153 5.153 5.153 0.000" Properties=species:S:1:pos:R:3 pbc="T T T"
Pa 0.000 0.000 0.000
Pa 2.576 2.576 0.000
Pa 2.576 0.000 2.576
Pa 0.000 2.576 2.576
Ga 3.865 3.865 3.865
Ga 6.441 6.441 6.441
O 8.002 4.881 4.881
O 2.304 2.304 2.304
O 5.425 5.425 2.304
O 5.425 2.304 5.425
O 4.881 8.002 4.881
O 4.881 4.881 8.002
O 8.002 8.002 8.002
O 2.304 5.425 5.425
```


AcCdOs: optimized geometry, PBE.

Values from the calculation:
- Offset from the most stable computed form: 0 meV/atom
- ρ: 10.72 g/cm3

```
12
Lattice="6.898 0.000 0.000 0.000 6.898 0.000 0.000 0.000 6.898" Properties=species:S:1:pos:R:3 pbc="T T T"
Ac 0.000 0.000 0.000
Ac 0.000 3.449 3.449
Ac 3.449 0.000 3.449
Ac 3.449 3.449 0.000
Cd 1.725 1.725 1.725
Cd 1.725 5.174 5.174
Cd 5.174 1.725 5.174
Cd 5.174 5.174 1.725
Os 0.000 0.000 3.449
Os 0.000 3.449 0.000
Os 3.449 0.000 0.000
Os 3.449 3.449 3.449
```